No. 1
VASP calculation (PBE-GGA) on a geometry-optimized SrPuThO6 structure.

As for the density of states at the Fermi level: 14.8 states/eV/cell. As for the calculated volume: 292 Å³/cell. As for the space group: P-31c. The calculation puts the formation energy without anion corrections at -68.74 kcal/mol of atoms.

abc: 5.9345 5.9345 9.5800
angles: 90.00 90.00 120.00
Fractional positions:
Sr: 0.3333 0.6667 0.2500
Sr: 0.6667 0.3333 0.7500
Pu: 0.3333 0.6667 0.7500
Pu: 0.6667 0.3333 0.2500
Th: 0.0000 0.0000 0.0000
Th: 0.0000 0.0000 0.5000
O: 0.0545 0.3612 0.6294
O: 0.0545 0.6933 0.8706
O: 0.3067 0.3612 0.8706
O: 0.3067 0.9455 0.6294
O: 0.3612 0.0545 0.1294
O: 0.3612 0.3067 0.3706
O: 0.6388 0.6933 0.6294
O: 0.6388 0.9455 0.8706
O: 0.6933 0.0545 0.3706
O: 0.6933 0.6388 0.1294
O: 0.9455 0.3067 0.1294
O: 0.9455 0.6388 0.3706

***

No. 2
VASP calculation (PBE-GGA) on a geometry-optimized Sr2PuTiO6 structure.

As for the density of states at the Fermi level: 4.1 states/eV/cell. As for the calculated volume: 145 Å³/cell. As for the space group: P4/mmm. The calculation puts the formation energy without anion corrections at -68.52 kcal/mol of atoms.

abc: 4.1601 4.1601 8.3757
angles: 90.00 90.00 90.00
Fractional positions:
Sr: 0.0000 0.0000 0.2146
Sr: 0.0000 0.0000 0.7854
Pu: 0.5000 0.5000 0.5000
Ti: 0.5000 0.5000 0.0000
O: 0.0000 0.5000 0.0000
O: 0.0000 0.5000 0.5000
O: 0.5000 0.0000 0.0000
O: 0.5000 0.0000 0.5000
O: 0.5000 0.5000 0.2304
O: 0.5000 0.5000 0.7696

***

No. 3
VASP calculation (PBE-GGA) on a geometry-optimized SrPuTiO6 structure.

As for the density of states at the Fermi level: 15.1 states/eV/cell. As for the calculated volume: 272 Å³/cell. As for the space group: P-31c. The calculation puts the formation energy without anion corrections at -65.81 kcal/mol of atoms.

abc: 5.4357 5.4357 10.6291
angles: 90.00 90.00 120.00
Fractional positions:
Sr: 0.0000 0.0000 0.0000
Sr: 0.0000 0.0000 0.5000
Pu: 0.3333 0.6667 0.2500
Pu: 0.6667 0.3333 0.7500
Ti: 0.3333 0.6667 0.7500
Ti: 0.6667 0.3333 0.2500
O: 0.0110 0.3789 0.6481
O: 0.0110 0.6321 0.8519
O: 0.3679 0.3789 0.8519
O: 0.3679 0.9890 0.6481
O: 0.3789 0.0110 0.1481
O: 0.3789 0.3679 0.3519
O: 0.6211 0.6321 0.6481
O: 0.6211 0.9890 0.8519
O: 0.6321 0.0110 0.3519
O: 0.6321 0.6211 0.1481
O: 0.9890 0.3679 0.1481
O: 0.9890 0.6211 0.3519

***

No. 4
VASP calculation (PBE-GGA) on a geometry-optimized SrPuTi2O8 structure.

As for the density of states at the Fermi level: 4.2 states/eV/cell. As for the calculated volume: 180 Å³/cell. As for the space group: P-1. The calculation puts the formation energy without anion corrections at -65.39 kcal/mol of atoms.

abc: 5.0401 5.0423 7.3591
angles: 81.36 81.37 78.52
Fractional positions:
Sr: 0.0000 0.0000 0.0000
Pu: 0.0000 0.0000 0.5000
Ti: 0.4570 0.4569 0.2010
Ti: 0.5430 0.5431 0.7990
O: 0.2263 0.7632 0.2788
O: 0.2354 0.7720 0.7216
O: 0.2436 0.2414 0.4311
O: 0.3386 0.3370 0.0086
O: 0.6614 0.6630 0.9914
O: 0.7564 0.7586 0.5689
O: 0.7646 0.2280 0.2784
O: 0.7737 0.2368 0.7212

***

No. 5
VASP calculation (PBE-GGA) on a geometry-optimized SrPuTlO6 structure.

As for the density of states at the Fermi level: 0.2 states/eV/cell. As for the calculated volume: 300 Å³/cell. As for the space group: P-31c. The calculation puts the formation energy without anion corrections at -45.60 kcal/mol of atoms.

abc: 5.6687 5.6687 10.7826
angles: 90.00 90.00 120.00
Fractional positions:
Sr: 0.0000 0.0000 0.0000
Sr: 0.0000 0.0000 0.5000
Pu: 0.3333 0.6667 0.2500
Pu: 0.6667 0.3333 0.7500
Tl: 0.3333 0.6667 0.7500
Tl: 0.6667 0.3333 0.2500
O: 0.0365 0.3772 0.1420
O: 0.0365 0.6593 0.3580
O: 0.3407 0.3772 0.3580
O: 0.3407 0.9635 0.1420
O: 0.3772 0.0365 0.6420
O: 0.3772 0.3407 0.8580
O: 0.6228 0.6593 0.1420
O: 0.6228 0.9635 0.3580
O: 0.6593 0.0365 0.8580
O: 0.6593 0.6228 0.6420
O: 0.9635 0.3407 0.6420
O: 0.9635 0.6228 0.8580

***

No. 6
VASP calculation (PBE-GGA) on a geometry-optimized Sr2PuTlO6 structure.

As for the calculated volume: 350 Å³/cell. As for the space group: P2_1/c. The calculation puts the formation energy without anion corrections at -55.78 kcal/mol of atoms.

abc: 6.0437 6.4684 10.6927
angles: 90.00 123.17 90.00
Fractional positions:
Sr: 0.2152 0.0356 0.2256
Sr: 0.2152 0.4644 0.7256
Sr: 0.7848 0.5356 0.2744
Sr: 0.7848 0.9644 0.7744
Pu: 0.5000 0.0000 0.0000
Pu: 0.5000 0.5000 0.5000
Tl: 0.0000 0.0000 0.5000
Tl: 0.0000 0.5000 0.0000
O: 0.1908 0.1549 0.9762
O: 0.1908 0.3451 0.4762
O: 0.2405 0.7348 0.3847
O: 0.2405 0.7652 0.8847
O: 0.4342 0.1170 0.8069
O: 0.4342 0.3830 0.3069
O: 0.5658 0.6170 0.6931
O: 0.5658 0.8830 0.1931
O: 0.7595 0.2348 0.1153
O: 0.7595 0.2652 0.6153
O: 0.8092 0.6549 0.5238
O: 0.8092 0.8451 0.0238

***

No. 7
VASP calculation (PBE-GGA) on a geometry-optimized Sr2PuTl2O6 structure.

As for the density of states at the Fermi level: 7.2 states/eV/cell. As for the calculated volume: 221 Å³/cell. As for the space group: C2/m. The calculation puts the formation energy without anion corrections at -50.23 kcal/mol of atoms.

abc: 6.2770 6.2770 6.7001
angles: 98.55 98.55 118.80
Fractional positions:
Sr: 0.1633 0.8367 0.0000
Sr: 0.8367 0.1633 0.0000
Pu: 0.5000 0.5000 0.0000
Tl: 0.3402 0.6598 0.5000
Tl: 0.6598 0.3402 0.5000
O: 0.1678 0.4493 0.8352
O: 0.2842 0.2842 0.1948
O: 0.4493 0.1678 0.8352
O: 0.5507 0.8322 0.1648
O: 0.7158 0.7158 0.8052
O: 0.8322 0.5507 0.1648

***

No. 8
VASP calculation (PBE-GGA) on a geometry-optimized Sr2PuTl3O6 structure.

As for the density of states at the Fermi level: 8.7 states/eV/cell. As for the calculated volume: 226 Å³/cell. As for the space group: C2/m. The calculation puts the formation energy without anion corrections at -46.14 kcal/mol of atoms.

abc: 6.3613 6.3613 6.7481
angles: 98.89 98.89 119.61
Fractional positions:
Sr: 0.1662 0.8338 0.0000
Sr: 0.8338 0.1662 0.0000
Pu: 0.5000 0.5000 0.0000
Tl: 0.0000 0.0000 0.5000
Tl: 0.3411 0.6589 0.5000
Tl: 0.6589 0.3411 0.5000
O: 0.1580 0.4389 0.8287
O: 0.2739 0.2739 0.2016
O: 0.4389 0.1580 0.8287
O: 0.5611 0.8420 0.1713
O: 0.7261 0.7261 0.7984
O: 0.8420 0.5611 0.1713

***

No. 9
VASP calculation (PBE-GGA) on a geometry-optimized SrPu3Tl4O12 structure.

As for the density of states at the Fermi level: 4.4 states/eV/cell. As for the calculated volume: 337 Å³/cell. As for the space group: Im-3m. The calculation puts the formation energy without anion corrections at -48.25 kcal/mol of atoms.

abc: 7.5942 7.5942 7.5942
angles: 109.47 109.47 109.47
Fractional positions:
Sr: 0.0000 0.0000 0.0000
Pu: 0.0000 0.5000 0.5000
Pu: 0.5000 0.0000 0.5000
Pu: 0.5000 0.5000 0.0000
Tl: 0.0000 0.0000 0.5000
Tl: 0.0000 0.5000 0.0000
Tl: 0.5000 0.0000 0.0000
Tl: 0.5000 0.5000 0.5000
O: 0.0000 0.2813 0.2813
O: 0.0000 0.7187 0.7187
O: 0.2500 0.5000 0.7500
O: 0.2500 0.7500 0.5000
O: 0.2813 0.0000 0.2813
O: 0.2813 0.2813 0.0000
O: 0.5000 0.2500 0.7500
O: 0.5000 0.7500 0.2500
O: 0.7187 0.0000 0.7187
O: 0.7187 0.7187 0.0000
O: 0.7500 0.2500 0.5000
O: 0.7500 0.5000 0.2500

***

No. 10
VASP calculation (PBE-GGA) on a geometry-optimized SrPuTl2O6 structure.

As for the density of states at the Fermi level: 4.4 states/eV/cell. As for the calculated volume: 176 Å³/cell. As for the space group: P-1. The calculation puts the formation energy without anion corrections at -42.90 kcal/mol of atoms.

abc: 6.2528 6.2546 6.2561
angles: 60.77 60.79 60.76
Fractional positions:
Sr: 0.0000 0.0000 0.0000
Pu: 0.5000 0.5000 0.5000
Tl: 0.2516 0.2518 0.2524
Tl: 0.7484 0.7482 0.7476
O: 0.2240 0.3354 0.7140
O: 0.2840 0.7758 0.6649
O: 0.3361 0.7155 0.2236
O: 0.6639 0.2845 0.7764
O: 0.7160 0.2242 0.3351
O: 0.7760 0.6646 0.2860

***

No. 11
VASP calculation (PBE-GGA) on a geometry-optimized Sr2TmPuO6 structure.

As for the density of states at the Fermi level: 20.2 states/eV/cell. As for the calculated volume: 304 Å³/cell. As for the space group: P2_1/c. The calculation puts the formation energy without anion corrections at -71.89 kcal/mol of atoms.

abc: 5.9408 6.0517 10.3350
angles: 90.00 125.06 90.00
Fractional positions:
Sr: 0.2404 0.0413 0.2505
Sr: 0.2404 0.4587 0.7505
Sr: 0.7596 0.5413 0.2495
Sr: 0.7596 0.9587 0.7495
Tm: 0.5000 0.0000 0.0000
Tm: 0.5000 0.5000 0.5000
Pu: 0.0000 0.0000 0.5000
Pu: 0.0000 0.5000 0.0000
O: 0.1504 0.2121 0.9493
O: 0.1504 0.2879 0.4493
O: 0.2407 0.7018 0.9525
O: 0.2407 0.7982 0.4525
O: 0.3370 0.0324 0.7449
O: 0.3370 0.4676 0.2449
O: 0.6630 0.5324 0.7551
O: 0.6630 0.9676 0.2551
O: 0.7593 0.2018 0.5475
O: 0.7593 0.2982 0.0475
O: 0.8496 0.7121 0.5507
O: 0.8496 0.7879 0.0507

***

No. 12
VASP calculation (PBE-GGA) on a geometry-optimized SrTmPuO6 structure.

As for the calculated volume: 294 Å³/cell. As for the space group: P-31c. The calculation puts the formation energy without anion corrections at -66.81 kcal/mol of atoms.

abc: 5.7369 5.7369 10.3189
angles: 90.00 90.00 120.00
Fractional positions:
Sr: 0.0000 0.0000 0.0000
Sr: 0.0000 0.0000 0.5000
Tm: 0.3333 0.6667 0.2500
Tm: 0.6667 0.3333 0.7500
Pu: 0.3333 0.6667 0.7500
Pu: 0.6667 0.3333 0.2500
O: 0.0279 0.3812 0.6442
O: 0.0279 0.6467 0.8558
O: 0.3533 0.3812 0.8558
O: 0.3533 0.9721 0.6442
O: 0.3812 0.0279 0.1442
O: 0.3812 0.3533 0.3558
O: 0.6188 0.6467 0.6442
O: 0.6188 0.9721 0.8558
O: 0.6467 0.0279 0.3558
O: 0.6467 0.6188 0.1442
O: 0.9721 0.3533 0.1442
O: 0.9721 0.6188 0.3558

***

No. 13
VASP calculation (PBE-GGA) on a geometry-optimized SrTmPu2O8 structure.

As for the density of states at the Fermi level: 11.3 states/eV/cell. As for the calculated volume: 155 Å³/cell. As for the space group: I-4m2. The calculation puts the formation energy without anion corrections at -66.17 kcal/mol of atoms.

abc: 6.5366 6.5366 6.5366
angles: 131.16 131.16 71.56
Fractional positions:
Sr: 0.0000 0.0000 0.0000
Tm: 0.2500 0.7500 0.5000
Pu: 0.5000 0.5000 0.0000
Pu: 0.7500 0.2500 0.5000
O: 0.1314 0.1437 0.5335
O: 0.1314 0.5979 0.9878
O: 0.4021 0.3898 0.5335
O: 0.4021 0.8686 0.0122
O: 0.6102 0.1437 0.0122
O: 0.6102 0.5979 0.4665
O: 0.8563 0.3898 0.9878
O: 0.8563 0.8686 0.4665

***

No. 14
VASP calculation (PBE-GGA) on a geometry-optimized Sr2PuUO6 structure.

As for the density of states at the Fermi level: 12.9 states/eV/cell. As for the calculated volume: 321 Å³/cell. As for the space group: P2_1/c. The calculation puts the formation energy without anion corrections at -71.60 kcal/mol of atoms.

abc: 6.0314 6.1779 10.5150
angles: 90.00 125.01 90.00
Fractional positions:
Sr: 0.2391 0.0446 0.2515
Sr: 0.2391 0.4554 0.7515
Sr: 0.7609 0.5446 0.2485
Sr: 0.7609 0.9554 0.7485
Pu: 0.5000 0.0000 0.0000
Pu: 0.5000 0.5000 0.5000
U: 0.0000 0.0000 0.5000
U: 0.0000 0.5000 0.0000
O: 0.1370 0.2117 0.9404
O: 0.1370 0.2883 0.4404
O: 0.2375 0.6969 0.9476
O: 0.2375 0.8031 0.4476
O: 0.3464 0.0433 0.7423
O: 0.3464 0.4567 0.2423
O: 0.6536 0.5433 0.7577
O: 0.6536 0.9567 0.2577
O: 0.7625 0.1969 0.5524
O: 0.7625 0.3031 0.0524
O: 0.8630 0.7117 0.5596
O: 0.8630 0.7883 0.0596

***

No. 15
VASP calculation (PBE-GGA) on a geometry-optimized SrPuUO6 structure.

As for the density of states at the Fermi level: 18.1 states/eV/cell. As for the calculated volume: 306 Å³/cell. As for the space group: P-31c. The calculation puts the formation energy without anion corrections at -71.00 kcal/mol of atoms.

abc: 5.9182 5.9182 10.0906
angles: 90.00 90.00 120.00
Fractional positions:
Sr: 0.0000 0.0000 0.0000
Sr: 0.0000 0.0000 0.5000
Pu: 0.3333 0.6667 0.2500
Pu: 0.6667 0.3333 0.7500
U: 0.3333 0.6667 0.7500
U: 0.6667 0.3333 0.2500
O: 0.0130 0.3749 0.6440
O: 0.0130 0.6382 0.8560
O: 0.3618 0.3749 0.8560
O: 0.3618 0.9870 0.6440
O: 0.3749 0.0130 0.1440
O: 0.3749 0.3618 0.3560
O: 0.6251 0.6382 0.6440
O: 0.6251 0.9870 0.8560
O: 0.6382 0.0130 0.3560
O: 0.6382 0.6251 0.1440
O: 0.9870 0.3618 0.1440
O: 0.9870 0.6251 0.3560